Record 1
Pr4ZnSI2 after structural relaxation, computed with PBE.

Properties
symmetry	P2/m (10)
E_form (uncorrected)	-1.05	eV per atom

Structure (extended XYZ):
```
8
Lattice="-1.6549 2.4454 2.9795 -5.4354 1.8616 -4.5469 -2.4712 -6.7611 4.1766" Properties=species:S:1:pos:R:3 pbc="T T T"
Pr -2.6630 0.2978 1.2294
Pr -6.8985 -2.7518 1.3798
Pr -3.5028 -4.9158 2.0891
Pr -4.4039 0.0163 -2.4594
Zn 0.0000 0.0000 0.0000
S -3.5451 2.1535 -0.7837
I -2.0630 -2.1578 3.5780
I -3.9533 -2.4497 -0.1851
```



Record 2
KCdHg2Ge after structural relaxation, computed with PBE.

Properties
symmetry	P4/mmm (123)
E_form	0.03	eV per atom

Structure (extended XYZ):
```
5
Lattice="5.7070 0.0000 0.0000 0.0000 5.7070 0.0000 0.0000 0.0000 5.2243" Properties=species:S:1:pos:R:3 pbc="T T T"
K 2.8535 2.8535 2.6121
Ge 0.0000 0.0000 0.0000
Hg 0.0000 2.8535 0.0000
Hg 2.8535 0.0000 0.0000
Cd 0.0000 0.0000 2.6121
```



Record 3
LiTa2W after structural relaxation, computed with PBE.

Properties
symmetry	Pmmm (47)
E above lowest polymorph	0.199	eV per atom
E_form	0.39	eV per atom

Structure (extended XYZ):
```
4
Lattice="3.5358 0.0000 0.0000 0.0000 4.4530 0.0000 0.0000 0.0000 4.1753" Properties=species:S:1:pos:R:3 pbc="T T T"
Li 0.0000 2.2265 2.0876
Ta 0.0000 0.0000 0.0000
Ta 1.7679 2.2265 0.0000
W 1.7679 0.0000 2.0876
```



Record 4
KTa2Sb after structural relaxation, computed with PBE.

Properties
symmetry	I4/mmm (139)
E_form (uncorrected)	1.09	eV per atom

Structure (extended XYZ):
```
4
Lattice="5.7374 0.0018 0.0000 2.5484 5.1404 0.0000 -4.1429 -2.5711 3.0239" Properties=species:S:1:pos:R:3 pbc="T T T"
K 1.2742 2.5702 1.5119
Sb 2.8687 0.0009 1.5119
Ta 0.0000 0.0000 0.0000
Ta 4.1429 2.5711 0.0000
```



Record 5
Bi2TeSe after structural relaxation, computed with PBE.

Properties
symmetry	R-3m (166)
E above lowest polymorph	0.000	eV per atom
E_form (uncorrected)	-0.12	eV per atom

Structure (extended XYZ):
```
4
Lattice="4.1416 0.0000 0.0000 2.0708 3.5867 0.0000 2.0708 1.1956 8.2948" Properties=species:S:1:pos:R:3 pbc="T T T"
Te 4.1416 2.3912 4.1474
Bi 2.0708 1.1956 1.9733
Bi 6.2124 3.5867 6.3215
Se 0.0000 0.0000 0.0000
```



Record 6
Ac2ZrSb3Pt4 after structural relaxation, computed with PBE.

Properties
symmetry	P-4m2 (115)
E_form (uncorrected)	-0.94	eV per atom

Structure (extended XYZ):
```
10
Lattice="4.6354 0.0000 0.0000 0.0000 4.6354 0.0000 0.0000 0.0000 11.1189" Properties=species:S:1:pos:R:3 pbc="T T T"
Ac 2.3177 0.0000 2.5853
Ac 0.0000 2.3177 8.5336
Zr 2.3177 2.3177 5.5594
Sb 0.0000 0.0000 5.5594
Sb 2.3177 0.0000 9.6874
Sb 0.0000 2.3177 1.4315
Pt 2.3177 2.3177 0.0000
Pt 0.0000 0.0000 0.0000
Pt 2.3177 0.0000 7.0193
Pt 0.0000 2.3177 4.0996
```



Record 7
LiHPd2 after structural relaxation, computed with PBE.

Properties
symmetry	Fm-3m (225)
E above lowest polymorph	0.333	eV per atom

Structure (extended XYZ):
```
4
Lattice="2.5924 -2.0357 2.2541 -1.2767 -1.9563 3.2386 -0.0768 -3.9924 0.0199" Properties=species:S:1:pos:R:3 pbc="T T T"
H 0.0000 0.0000 0.0000
Pd 0.3097 -1.9961 1.3781
Pd 0.9292 -5.9883 4.1344
Li 0.6195 -3.9922 2.7563
```



Record 8
BaTlCdHg2 after structural relaxation, computed with PBE.

Properties
symmetry	I-4m2 (119)
E_form	-0.32	eV per atom

Structure (extended XYZ):
```
5
Lattice="4.8408 0.0000 0.0000 0.0000 4.8408 0.0000 -2.4204 -2.4204 6.5611" Properties=species:S:1:pos:R:3 pbc="T T T"
Ba 0.0000 0.0000 0.0000
Tl 2.4204 0.0000 3.2806
Cd 0.0000 2.4204 3.2806
Hg 2.4204 2.4204 1.4623
Hg 0.0000 0.0000 5.0989
```



Record 9
Mg3Ag2 after structural relaxation, computed with PBE.

Properties
symmetry	C2/m (12)
E above lowest polymorph	0.048	eV per atom
E_form	-0.16	eV per atom

Structure (extended XYZ):
```
5
Lattice="-1.3025 0.9658 -3.0479 -4.0855 0.1156 3.7378 0.4305 5.5605 -0.3772" Properties=species:S:1:pos:R:3 pbc="T T T"
Ag -5.3172 1.1224 0.6726
Ag -1.2367 2.5927 -0.6052
Mg -2.2067 5.1962 -1.3210
Mg -2.6257 1.3746 1.5576
Mg -3.9168 4.0795 1.0112
```



Record 10
Pm2Nd4Dy after structural relaxation, computed with PBE.

Properties
symmetry	P1 (1)
E above lowest polymorph	0.034	eV per atom
E_form	0.04	eV per atom

Structure (extended XYZ):
```
14
Lattice="-1.9415 8.6636 -3.8737 -3.0597 -5.3166 -3.7295 -3.7408 -0.9586 7.9005" Properties=species:S:1:pos:R:3 pbc="T T T"
Pm -6.5727 -1.6436 2.2437
Pm -4.2800 2.5156 1.3281
Pm -2.7559 5.2938 -0.3993
Pm -2.8146 -0.7838 -2.0554
Nd -2.6270 5.4703 -4.2279
Nd -6.3745 4.7584 -0.1640
Nd -5.8066 -0.1266 -0.5304
Nd -2.9457 -0.9900 1.8029
Nd -1.3012 1.8666 -0.2099
Nd -4.1660 2.8136 -6.1120
Nd -5.0463 1.0111 4.1001
Nd -4.4800 -3.6474 -0.0860
Dy -4.2981 2.6291 -2.2785
Dy -4.8462 7.4264 1.7044
```



Record 11
AlHg3P after structural relaxation, computed with PBE.

Properties
symmetry	Pm-3m (221)
E above lowest polymorph	0.140	eV per atom
E_form	0.65	eV per atom

Structure (extended XYZ):
```
5
Lattice="-5.2037 0.6070 0.1677 -0.5092 -4.8770 1.8522 0.3705 1.8225 4.9006" Properties=species:S:1:pos:R:3 pbc="T T T"
P -2.6712 -1.2238 3.4603
Hg -0.2546 -2.4385 0.9261
Hg 0.1853 0.9113 2.4503
Hg -2.6018 0.3035 0.0839
Al 0.0000 0.0000 0.0000
```



Record 12
Ta2VRhN after structural relaxation, computed with PBE.

Properties
symmetry	P4/mmm (123)
E_form (uncorrected)	-0.65	eV per atom

Structure (extended XYZ):
```
5
Lattice="4.2593 0.0000 0.0000 0.0000 4.2593 0.0000 0.0000 0.0000 3.8571" Properties=species:S:1:pos:R:3 pbc="T T T"
N 0.0000 0.0000 0.0000
V 0.0000 0.0000 1.9286
Rh 2.1297 2.1297 1.9286
Ta 0.0000 2.1297 0.0000
Ta 2.1297 0.0000 0.0000
```



DOS at the Fermi energy? In order: 0.67 0.70 0.74 1.10 0.54 0.57 0.24 0.59 0.25 1.47 0.49 0.93 states/eV per atom.